No. 1
First-principles (PBE) data for a relaxed Rb2Cd2SnTe4 crystal, as listed in the Alexandria database.

As for the magnetic moment: 0.00 μB per cell. Its crystal system is monoclinic. The calculation puts the formation energy from raw total energies at -5.78 eV per formula unit. The total energy is -52.2 eV per cell.

It has space group C2/m (No. 12), with a = 17.3421 Å, b = 4.6928 Å, c = 8.7891 Å, α = 90.00°, β = 109.04° and γ = 90.00°. Symmetry generates all atoms from Rb at (0.1265, 0.0000, 0.0559), Cd at (0.1692, 0.5000, 0.4769), Sn at (0.0000, 0.0000, 0.5000), Te at (0.0125, 0.5000, 0.2522) and Te at (0.2023, 0.0000, 0.6849).

---

No. 2
First-principles (PBE) data for a relaxed RbCdSnTe3 crystal, as listed in the Alexandria database.

As for the magnetic moment: 0.00 μB per cell. Its crystal system is monoclinic. The calculation puts the formation energy from raw total energies at -2.99 eV per formula unit. The total energy is -36.6 eV per cell.

It has space group P2_1/m (No. 11), with a = 10.1071 Å, b = 4.4147 Å, c = 10.9268 Å, α = 90.00°, β = 107.67° and γ = 90.00°. Symmetry generates all atoms from Rb at (0.2069, 0.2500, 0.2520), Cd at (0.0802, 0.2500, 0.6139), Sn at (0.3376, 0.7500, 0.8837), Te at (0.1231, 0.2500, 0.8849), Te at (0.2178, 0.7500, 0.5365) and Te at (0.4692, 0.7500, 0.1640).

---

No. 3
First-principles (PBE) data for a relaxed RbCdSn2Te4 crystal, as listed in the Alexandria database.

As for the magnetic moment: 0.00 μB per cell. Its crystal system is orthorhombic. The calculation puts the formation energy from raw total energies at -3.29 eV per formula unit. The total energy is -103.0 eV per cell.

It has space group Cmcm (No. 63), with a = 4.5941 Å, b = 15.4772 Å, c = 16.3785 Å, α = 90.00°, β = 90.00° and γ = 90.00°. Symmetry generates all atoms from Rb at (0.0000, 0.1234, 0.2500), Cd at (0.0000, 0.1638, 0.7500), Sn at (0.0000, 0.3757, 0.0608), Te at (0.0000, 0.0000, 0.0000), Te at (0.0000, 0.2564, 0.6011) and Te at (0.0000, 0.4425, 0.2500).

---

No. 4
First-principles (PBE) data for a relaxed Rb2TiCdSn crystal, as listed in the Alexandria database.

As for the magnetic moment: 2.06 μB per cell. Its crystal system is tetragonal. The total energy is -12.0 eV per cell.

It has space group P4/mmm (No. 123), with a = 7.0151 Å, b = 7.0151 Å, c = 5.3025 Å, α = 90.00°, β = 90.00° and γ = 90.00°. Symmetry generates all atoms from Rb at (0.0000, 0.5000, 0.0000), Ti at (0.0000, 0.0000, 0.0000), Cd at (0.5000, 0.5000, 0.5000) and Sn at (0.0000, 0.0000, 0.5000).

---

No. 5
First-principles (PBE) data for a relaxed RbTlCdSn2 crystal, as listed in the Alexandria database.

As for the magnetic moment: 0.00 μB per cell. Its crystal system is tetragonal. The total energy is -25.7 eV per cell.

It has space group I-4m2 (No. 119), with a = 5.2520 Å, b = 5.2520 Å, c = 12.1111 Å, α = 90.00°, β = 90.00° and γ = 90.00°. Symmetry generates all atoms from Rb at (0.0000, 0.0000, 0.0000), Tl at (0.0000, 0.5000, 0.7500), Cd at (0.0000, 0.5000, 0.2500) and Sn at (0.0000, 0.0000, 0.3808).

---

No. 6
First-principles (PBE) data for a relaxed Rb2TlCd3Sn4 crystal, as listed in the Alexandria database.

As for the magnetic moment: 0.00 μB per cell. Its crystal system is tetragonal. The total energy is -24.3 eV per cell.

It has space group P-4m2 (No. 115), with a = 4.9979 Å, b = 4.9979 Å, c = 12.7451 Å, α = 90.00°, β = 90.00° and γ = 90.00°. Symmetry generates all atoms from Rb at (0.0000, 0.5000, 0.2494), Tl at (0.5000, 0.5000, 0.0000), Cd at (0.0000, 0.0000, 0.0000), Cd at (0.0000, 0.5000, 0.6365), Sn at (0.0000, 0.0000, 0.5000), Sn at (0.0000, 0.5000, 0.8634) and Sn at (0.5000, 0.5000, 0.5000).

---

No. 7
First-principles (PBE) data for a relaxed Rb2Tl4Cd3Sn crystal, as listed in the Alexandria database.

As for the magnetic moment: 0.00 μB per cell. Its crystal system is tetragonal. The total energy is -18.7 eV per cell.

It has space group P-4m2 (No. 115), with a = 5.0955 Å, b = 5.0955 Å, c = 13.0739 Å, α = 90.00°, β = 90.00° and γ = 90.00°. Symmetry generates all atoms from Rb at (0.0000, 0.5000, 0.2472), Tl at (0.0000, 0.0000, 0.5000), Tl at (0.0000, 0.5000, 0.8638), Tl at (0.5000, 0.5000, 0.5000), Cd at (0.0000, 0.0000, 0.0000), Cd at (0.0000, 0.5000, 0.6340) and Sn at (0.5000, 0.5000, 0.0000).

---

No. 8
First-principles (PBE) data for a relaxed Rb2Tl3Cd4Sn crystal, as listed in the Alexandria database.

As for the magnetic moment: 0.00 μB per cell. Its crystal system is tetragonal. The total energy is -17.2 eV per cell.

It has space group P-4m2 (No. 115), with a = 5.1472 Å, b = 5.1472 Å, c = 12.5634 Å, α = 90.00°, β = 90.00° and γ = 90.00°. Symmetry generates all atoms from Rb at (0.0000, 0.5000, 0.2496), Tl at (0.0000, 0.0000, 0.0000), Tl at (0.0000, 0.5000, 0.6305), Cd at (0.0000, 0.0000, 0.5000), Cd at (0.0000, 0.5000, 0.8694), Cd at (0.5000, 0.5000, 0.5000) and Sn at (0.5000, 0.5000, 0.0000).

---

No. 9
First-principles (PBE) data for a relaxed RbTl2CdSn crystal, as listed in the Alexandria database.

As for the magnetic moment: 0.00 μB per cell. Its crystal system is tetragonal. The total energy is -21.7 eV per cell.

It has space group I-4m2 (No. 119), with a = 4.9825 Å, b = 4.9825 Å, c = 13.6968 Å, α = 90.00°, β = 90.00° and γ = 90.00°. Symmetry generates all atoms from Rb at (0.0000, 0.0000, 0.0000), Tl at (0.0000, 0.0000, 0.3846), Cd at (0.0000, 0.5000, 0.7500) and Sn at (0.0000, 0.5000, 0.2500).

---

No. 10
First-principles (PBE) data for a relaxed RbTlCdSn crystal, as listed in the Alexandria database.

As for the magnetic moment: 0.00 μB per cell. Its crystal system is cubic. The total energy is -33.1 eV per cell.

It has space group F-43m (No. 216), with a = 7.9662 Å, b = 7.9662 Å, c = 7.9662 Å, α = 90.00°, β = 90.00° and γ = 90.00°. Symmetry generates all atoms from Rb at (0.0000, 0.0000, 0.0000), Tl at (0.2500, 0.2500, 0.2500), Cd at (0.2500, 0.2500, 0.7500) and Sn at (0.0000, 0.0000, 0.5000).

---

No. 11
First-principles (PBE) data for a relaxed Rb2ZnCd3Sn4 crystal, as listed in the Alexandria database.

As for the magnetic moment: 0.00 μB per cell. Its crystal system is tetragonal. The total energy is -23.1 eV per cell.

It has space group P-4m2 (No. 115), with a = 4.8823 Å, b = 4.8823 Å, c = 12.5965 Å, α = 90.00°, β = 90.00° and γ = 90.00°. Symmetry generates all atoms from Rb at (0.0000, 0.5000, 0.2417), Zn at (0.5000, 0.5000, 0.0000), Cd at (0.0000, 0.0000, 0.0000), Cd at (0.0000, 0.5000, 0.6454), Sn at (0.0000, 0.0000, 0.5000), Sn at (0.0000, 0.5000, 0.8750) and Sn at (0.5000, 0.5000, 0.5000).

---

No. 12
First-principles (PBE) data for a relaxed RbZnCdSn2 crystal, as listed in the Alexandria database.

As for the magnetic moment: 0.00 μB per cell. Its crystal system is tetragonal. The total energy is -23.4 eV per cell.

It has space group I-4m2 (No. 119), with a = 4.9329 Å, b = 4.9329 Å, c = 12.0879 Å, α = 90.00°, β = 90.00° and γ = 90.00°. Symmetry generates all atoms from Rb at (0.0000, 0.0000, 0.0000), Zn at (0.0000, 0.5000, 0.2500), Cd at (0.0000, 0.5000, 0.7500) and Sn at (0.0000, 0.0000, 0.3783).

---

No. 13
First-principles (PBE) data for a relaxed Rb2Zn3CdSn4 crystal, as listed in the Alexandria database.

As for the magnetic moment: 0.00 μB per cell. Its crystal system is tetragonal. The total energy is -23.7 eV per cell.

It has space group P-4m2 (No. 115), with a = 4.8326 Å, b = 4.8326 Å, c = 11.9412 Å, α = 90.00°, β = 90.00° and γ = 90.00°. Symmetry generates all atoms from Rb at (0.0000, 0.5000, 0.2495), Zn at (0.0000, 0.0000, 0.0000), Zn at (0.0000, 0.5000, 0.6344), Cd at (0.5000, 0.5000, 0.0000), Sn at (0.0000, 0.0000, 0.5000), Sn at (0.0000, 0.5000, 0.8647) and Sn at (0.5000, 0.5000, 0.5000).

---

No. 14
First-principles (PBE) data for a relaxed RbSr2Cd2 crystal, as listed in the Alexandria database.

As for the magnetic moment: 0.00 μB per cell. Its crystal system is tetragonal. The total energy is -13.4 eV per cell.

It has space group P4/mbm (No. 127), with a = 10.0171 Å, b = 10.0171 Å, c = 3.9695 Å, α = 90.00°, β = 90.00° and γ = 90.00°. Symmetry generates all atoms from Rb at (0.0000, 0.0000, 0.0000), Sr at (0.1342, 0.3658, 0.0000) and Cd at (0.1582, 0.6582, 0.5000).

---

No. 15
First-principles (PBE) data for a relaxed Rb2SrCd crystal, as listed in the Alexandria database.

As for the magnetic moment: 0.00 μB per cell. Its crystal system is trigonal. The total energy is -11.6 eV per cell.

It has space group R-3m (No. 166, hexagonal axes), with a = 4.3796 Å, b = 4.3796 Å, c = 43.1102 Å, α = 90.00°, β = 90.00° and γ = 120.00°. Symmetry generates all atoms from Rb at (0.0000, 0.0000, 0.1002), Sr at (0.0000, 0.0000, 0.0000) and Cd at (0.0000, 0.0000, 0.5000).

---

No. 16
First-principles (PBE) data for a relaxed RbSr2Cd2 crystal, as listed in the Alexandria database.

As for the magnetic moment: 0.00 μB per cell. Its crystal system is tetragonal. The total energy is -13.7 eV per cell.

It has space group P4/mbm (No. 127), with a = 9.5105 Å, b = 9.5105 Å, c = 4.5545 Å, α = 90.00°, β = 90.00° and γ = 90.00°. Symmetry generates all atoms from Rb at (0.0000, 0.0000, 0.0000), Sr at (0.1583, 0.3417, 0.5000) and Cd at (0.1244, 0.6244, 0.0000).

---

No. 17
First-principles (PBE) data for a relaxed RbSrCd17 crystal, as listed in the Alexandria database.

As for the magnetic moment: 0.00 μB per cell. Its crystal system is trigonal. The total energy is -60.5 eV per cell.

It has space group R3m (No. 160, hexagonal axes), with a = 10.3885 Å, b = 10.3885 Å, c = 15.2410 Å, α = 90.00°, β = 90.00° and γ = 120.00°. Symmetry generates all atoms from Rb at (0.0000, 0.0000, 0.0000), Sr at (0.0000, 0.0000, 0.3243), Cd at (0.0000, 0.0000, 0.5574), Cd at (0.0000, 0.0000, 0.7575), Cd at (0.0383, 0.3703, 0.3270), Cd at (0.1670, 0.3340, 0.1421), Cd at (0.1696, 0.3393, 0.4949) and Cd at (0.1748, 0.3496, 0.8444).

---

No. 18
First-principles (PBE) data for a relaxed RbSr2Cd2 crystal, as listed in the Alexandria database.

As for the magnetic moment: 0.00 μB per cell. Its crystal system is tetragonal. The total energy is -12.5 eV per cell.

It has space group I4/mmm (No. 139), with a = 4.3845 Å, b = 4.3845 Å, c = 25.3572 Å, α = 90.00°, β = 90.00° and γ = 90.00°. Symmetry generates all atoms from Rb at (0.0000, 0.0000, 0.0000), Sr at (0.0000, 0.0000, 0.3557) and Cd at (0.0000, 0.5000, 0.2500).

---

No. 19
First-principles (PBE) data for a relaxed Rb2SrCd2 crystal, as listed in the Alexandria database.

As for the magnetic moment: 0.00 μB per cell. Its crystal system is tetragonal. The total energy is -9.7 eV per cell.

It has space group P4/mbm (No. 127), with a = 10.5556 Å, b = 10.5556 Å, c = 4.0955 Å, α = 90.00°, β = 90.00° and γ = 90.00°. Symmetry generates all atoms from Rb at (0.1271, 0.3729, 0.0000), Sr at (0.0000, 0.0000, 0.0000) and Cd at (0.1749, 0.6749, 0.5000).

---

No. 20
First-principles (PBE) data for a relaxed Rb2SrCd2 crystal, as listed in the Alexandria database.

As for the magnetic moment: 0.00 μB per cell. Its crystal system is tetragonal. The total energy is -10.3 eV per cell.

It has space group I4/mmm (No. 139), with a = 5.2767 Å, b = 5.2767 Å, c = 16.5592 Å, α = 90.00°, β = 90.00° and γ = 90.00°. Symmetry generates all atoms from Rb at (0.0000, 0.5000, 0.2500), Sr at (0.0000, 0.0000, 0.0000) and Cd at (0.0000, 0.0000, 0.4140).